[1]
CaAsPb3 | PBE | relaxed

a = 5.6326 Å, b = 5.6326 Å, c = 5.6326 Å
α = 90.00°, β = 90.00°, γ = 90.00°
Last column: nearest neighbours and their distance in Å.
Element x y z (fractional)
1 Pb 0.0000 0.5000 0.0000  2 As 2.82
2 Pb 0.0000 0.0000 0.5000  2 As 2.82
3 Pb 0.5000 0.0000 0.0000  2 As 2.82
4 Ca 0.5000 0.5000 0.5000  12 Pb 3.98
5 As 0.0000 0.0000 0.0000  6 Pb 2.82

Results
Size of the total moment   0.00 Bohr magnetons per cell
SG   Pm-3m
Fermi-level density of states   3.29 states/eV/cell
Energy above the most stable polymorph in this dataset   0.0 kJ per mole of atoms
ΔE_f   0.170 eV/atom



[2]
CaAsPb | PBE | relaxed

a = 5.0787 Å, b = 5.0787 Å, c = 5.0787 Å
α = 60.00°, β = 60.00°, γ = 60.00°
Last column: nearest neighbours and their distance in Å.
Element x y z (fractional)
1 Pb 0.5000 0.5000 0.5000  4 As 3.11
2 Ca 0.0000 0.0000 0.0000  4 As 3.11
3 As 0.7500 0.7500 0.7500  4 Pb 3.11, 4 Ca 3.11

Results
Size of the total moment   0.00 Bohr magnetons per cell
SG   F-43m
Fermi-level density of states   1.90 states/eV/cell
ΔE_f   -0.459 eV/atom



[3]
CaAsPb2 | PBE | relaxed

a = 5.6519 Å, b = 5.6519 Å, c = 6.0641 Å
α = 67.84°, β = 67.84°, γ = 42.09°
Last column: nearest neighbours and their distance in Å.
Element x y z (fractional)
1 Ca 0.7977 0.7977 0.6384  3 As 3.02-3.04
2 Pb 0.9827 0.9827 0.0010  2 As 2.97, 1 Pb 3.20
3 Pb 0.2044 0.2044 0.2375  2 As 3.13, 3 Pb 3.20-3.38
4 As 0.5152 0.5152 0.6232  4 Pb 2.97-3.13, 3 Ca 3.02-3.04

Results
Size of the total moment   0.00 Bohr magnetons per cell
SG   Cm
Fermi-level density of states   2.04 states/eV/cell
ΔE_f   -0.356 eV/atom



[4]
CaAs2Pb2 | PBE | relaxed

a = 8.1539 Å, b = 8.1539 Å, c = 4.1916 Å
α = 90.00°, β = 90.00°, γ = 90.00°
Last column: nearest neighbours and their distance in Å.
Element x y z (fractional)
1 As 0.1752 0.3248 0.0000  2 Pb 2.97, 2 Ca 3.01
2 As 0.6752 0.1752 0.0000  2 Pb 2.97, 2 Ca 3.01
3 As 0.3248 0.8248 0.0000  2 Pb 2.97, 2 Ca 3.01
4 As 0.8248 0.6752 0.0000  2 Pb 2.97, 2 Ca 3.01
5 Pb 0.3571 0.1429 0.5000  2 As 2.97, 1 Pb 3.30
6 Pb 0.6429 0.8571 0.5000  2 As 2.97, 1 Pb 3.30
7 Pb 0.8571 0.3571 0.5000  2 As 2.97, 1 Pb 3.30
8 Pb 0.1429 0.6429 0.5000  2 As 2.97, 1 Pb 3.30
9 Ca 0.5000 0.5000 0.0000  4 As 3.01
10 Ca 0.0000 0.0000 0.0000  4 As 3.01

Results
Size of the total moment   0.00 Bohr magnetons per cell
SG   P4/mbm
Fermi-level density of states   8.53 states/eV/cell
ΔE_f   -0.258 eV/atom



[5]
Ca3As2Pd9Pb | PBE | relaxed

a = 6.4345 Å, b = 6.4345 Å, c = 9.6307 Å
α = 90.00°, β = 90.00°, γ = 120.00°
Last column: nearest neighbours and their distance in Å.
Element x y z (fractional)
1 Pd 0.8579 0.7159 0.7299  1 As 2.35
2 Pd 0.5000 0.5000 0.0000  2 As 2.46
3 Pd 0.7159 0.8579 0.2701  1 As 2.35
4 Pd 0.8579 0.1421 0.7299  1 As 2.35
5 Pd 0.1421 0.2841 0.2701  1 As 2.35
6 Pd 0.2841 0.1421 0.7299  1 As 2.35
7 Pd 0.5000 0.0000 0.0000  2 As 2.46
8 Pd 0.1421 0.8579 0.2701  1 As 2.35
9 Pd 0.0000 0.5000 0.0000  2 As 2.46
10 Ca 0.3333 0.6667 0.7353  9 Pd 3.15-3.23
11 Ca 0.0000 0.0000 0.0000  12 Pd 3.05-3.22
12 Ca 0.6667 0.3333 0.2647  9 Pd 3.15-3.23
13 Pb 0.0000 0.0000 0.5000  6 Pd 2.72
14 As 0.6667 0.3333 0.8326  6 Pd 2.35-2.46
15 As 0.3333 0.6667 0.1674  6 Pd 2.35-2.46

Results
Size of the total moment   0.00 Bohr magnetons per cell
SG   P-3m1
Fermi-level density of states   4.40 states/eV/cell
ΔE_f   -0.485 eV/atom



[6]
Ca3As2Pd4Pb2 | PBE | relaxed

a = 4.5414 Å, b = 4.5414 Å, c = 13.7556 Å
α = 90.00°, β = 90.00°, γ = 120.00°
Last column: nearest neighbours and their distance in Å.
Element x y z (fractional)
1 As 0.3333 0.6667 0.1508  4 Pd 2.63-2.76
2 As 0.6667 0.3333 0.8492  4 Pd 2.63-2.76
3 Ca 0.0000 0.0000 0.0000  6 Pd 3.21, 6 As 3.34, 2 Ca 3.55
4 Ca 0.0000 0.0000 0.2578  6 Pd 2.92-3.12, 3 As 3.01
5 Ca 0.0000 0.0000 0.7422  6 Pd 2.92-3.12, 3 As 3.01
6 Pd 0.3333 0.6667 0.3518  1 As 2.76, 4 Pb 2.85-2.97, 3 Ca 2.92
7 Pd 0.3333 0.6667 0.8652  3 As 2.63
8 Pd 0.6667 0.3333 0.6482  1 As 2.76, 4 Pb 2.85-2.97, 3 Ca 2.92
9 Pd 0.6667 0.3333 0.1348  3 As 2.63
10 Pb 0.6667 0.3333 0.4323  4 Pd 2.85-2.97
11 Pb 0.3333 0.6667 0.5677  4 Pd 2.85-2.97

Results
Size of the total moment   0.00 Bohr magnetons per cell
SG   P-3m1
Fermi-level density of states   2.01 states/eV/cell
ΔE_f   -0.716 eV/atom



[7]
RbCa2AsPb | PBE | relaxed

a = 5.6666 Å, b = 6.3083 Å, c = 5.6666 Å
α = 90.00°, β = 90.00°, γ = 90.00°
Last column: nearest neighbours and their distance in Å.
Element x y z (fractional)
1 Ca 0.5000 0.0000 0.0000  2 As 2.83
2 Ca 0.0000 0.0000 0.5000  2 As 2.83
3 Rb 0.5000 0.5000 0.5000  4 Pb 4.01, 8 Ca 4.24
4 Pb 0.0000 0.5000 0.0000  2 As 3.15
5 As 0.0000 0.0000 0.0000  4 Ca 2.83, 2 Pb 3.15

Results
Size of the total moment   0.87 Bohr magnetons per cell
SG   P4/mmm
Fermi-level density of states   3.20 states/eV/cell
ΔE_f   -0.277 eV/atom



[8]
Ca2ReAsPb | PBE | relaxed

a = 5.7692 Å, b = 5.1041 Å, c = 5.7692 Å
α = 90.00°, β = 90.00°, γ = 90.00°
Last column: nearest neighbours and their distance in Å.
Element x y z (fractional)
1 As 0.5000 0.5000 0.5000  8 Ca 3.85, 4 Re 4.08
2 Ca 0.0000 0.0000 0.5000  2 Pb 2.88
3 Ca 0.5000 0.0000 0.0000  2 Pb 2.88
4 Pb 0.0000 0.0000 0.0000  2 Re 2.55
5 Re 0.0000 0.5000 0.0000  2 Pb 2.55

Results
Size of the total moment   2.06 Bohr magnetons per cell
SG   P4/mmm
Fermi-level density of states   5.12 states/eV/cell
ΔE_f   0.986 eV/atom



Copy entry 6 word for word.
Ca3As2Pd4Pb2 | PBE | relaxed

a = 4.5414 Å, b = 4.5414 Å, c = 13.7556 Å
α = 90.00°, β = 90.00°, γ = 120.00°
Last column: nearest neighbours and their distance in Å.
Element x y z (fractional)
1 As 0.3333 0.6667 0.1508  4 Pd 2.63-2.76
2 As 0.6667 0.3333 0.8492  4 Pd 2.63-2.76
3 Ca 0.0000 0.0000 0.0000  6 Pd 3.21, 6 As 3.34, 2 Ca 3.55
4 Ca 0.0000 0.0000 0.2578  6 Pd 2.92-3.12, 3 As 3.01
5 Ca 0.0000 0.0000 0.7422  6 Pd 2.92-3.12, 3 As 3.01
6 Pd 0.3333 0.6667 0.3518  1 As 2.76, 4 Pb 2.85-2.97, 3 Ca 2.92
7 Pd 0.3333 0.6667 0.8652  3 As 2.63
8 Pd 0.6667 0.3333 0.6482  1 As 2.76, 4 Pb 2.85-2.97, 3 Ca 2.92
9 Pd 0.6667 0.3333 0.1348  3 As 2.63
10 Pb 0.6667 0.3333 0.4323  4 Pd 2.85-2.97
11 Pb 0.3333 0.6667 0.5677  4 Pd 2.85-2.97

Results
Size of the total moment   0.00 Bohr magnetons per cell
SG   P-3m1
Fermi-level density of states   2.01 states/eV/cell
ΔE_f   -0.716 eV/atom